# 1
Density functional theory data (PBE) for a relaxed structure of DyY3Sc7.

```
11
Lattice="5.437 -0.211 -0.271 -2.381 7.545 1.174 -2.381 -0.691 7.605" Properties=species:S:1:pos:R:3 pbc="T T T"
Dy 0.337 3.322 4.254
Y -2.381 5.809 2.530
Y 2.718 -0.106 -0.135
Y -2.381 1.046 6.249
Sc 0.143 1.393 1.784
Sc -2.191 6.884 5.571
Sc 2.865 2.908 0.478
Sc -2.191 3.736 8.029
Sc -2.381 3.427 4.389
Sc 2.865 -0.241 2.937
Sc 0.531 5.251 6.724
```

Computed properties:
E_form	0.306	eV/atom
electronic total energy	-5.9048	eV/atom



# 2
Density functional theory data (PBE) for a relaxed structure of TbGa4Ni12.

```
17
Lattice="6.868 0.000 0.000 -2.289 6.475 0.000 -2.289 -3.238 5.608" Properties=species:S:1:pos:R:3 pbc="T T T"
Tb 0.000 0.000 0.000
Ga -1.145 3.238 0.000
Ga 3.434 0.000 0.000
Ga 1.145 1.619 2.804
Ga -1.145 -1.619 2.804
Ni 4.560 1.632 1.167
Ni 0.953 2.784 0.830
Ni 3.626 -1.127 3.611
Ni 0.018 -1.411 4.778
Ni -1.337 4.364 1.997
Ni 1.337 0.453 4.778
Ni 2.308 -0.194 1.997
Ni -0.018 3.432 3.611
Ni 2.271 4.649 0.830
Ni 3.242 2.564 2.781
Ni -0.953 0.674 2.826
Ni -2.271 1.606 4.441
```

Computed properties:
E_form	0.215	eV/atom
electronic total energy	-4.8509	eV/atom



# 3
Density functional theory data (PBE) for a relaxed structure of TlZnRu.

```
3
Lattice="5.395 -0.018 0.020 4.399 3.121 0.014 0.995 0.319 3.123" Properties=species:S:1:pos:R:3 pbc="T T T"
Ru 1.198 0.383 3.052
Tl 3.971 1.260 2.078
Zn 6.616 2.097 1.150
```

Computed properties:
energy above the most stable polymorph in this dataset	0.0	meV per atom
E_form	0.327	eV/atom
electronic total energy	-3.9780	eV/atom



# 4
Density functional theory data (PBE) for a relaxed structure of BiAuBr5.

```
14
Lattice="-6.424 -0.933 3.710 5.120 -4.431 3.232 3.151 9.573 3.570" Properties=species:S:1:pos:R:3 pbc="T T T"
Bi -3.212 -0.466 1.855
Bi -1.637 4.320 3.640
Au -1.569 -1.238 6.172
Au 3.416 5.447 4.340
Br -0.552 -3.401 5.213
Br 3.441 0.981 4.174
Br -1.329 1.594 2.676
Br 0.621 -0.078 6.941
Br 1.225 4.287 3.571
Br -3.610 -1.379 4.584
Br 5.456 5.588 5.928
Br 3.175 2.615 7.836
Br -1.595 3.228 6.338
Br 2.398 7.610 5.299
```

Computed properties:
formation energy without anion corrections	-374.1	meV per atom
electronic total energy	-2.5917	eV/atom



# 5
Density functional theory data (PBE) for a relaxed structure of CrIn2I.

```
4
Lattice="-4.891 -1.768 1.912 -3.283 3.455 2.826 -4.699 1.846 -2.284" Properties=species:S:1:pos:R:3 pbc="T T T"
I -6.436 1.766 1.227
Cr 0.000 0.000 0.000
In -3.218 0.883 0.613
In -9.655 2.650 1.840
```

Computed properties:
energy above the most stable polymorph in this dataset	54.9	meV per atom
formation energy without anion corrections	550.9	meV per atom
electronic total energy	-3.6117	eV/atom



# 6
Density functional theory data (PBE) for a relaxed structure of Li2Ag5Sn.

```
8
Lattice="-4.383 1.621 -3.491 1.234 -4.328 -3.711 -1.035 -1.187 5.662" Properties=species:S:1:pos:R:3 pbc="T T T"
Li -0.542 -3.292 -0.940
Li -3.351 -0.318 -0.830
Ag -3.868 -0.911 2.001
Ag -1.676 -1.722 3.746
Ag -3.251 -3.075 0.145
Ag -1.059 -3.886 1.891
Ag -2.734 -2.482 -2.686
Sn -1.159 -1.129 0.915
```

Computed properties:
energy above the most stable polymorph in this dataset	14.0	meV per atom
E_form	-0.146	eV/atom
electronic total energy	-2.9068	eV/atom



# 7
Density functional theory data (PBE) for a relaxed structure of Na2GaPt2.

```
10
Lattice="-4.269 -4.098 2.454 -1.608 -1.866 -5.914 3.491 -3.537 0.167" Properties=species:S:1:pos:R:3 pbc="T T T"
Na -0.044 -3.702 -3.454
Na -2.443 -6.058 -3.200
Na -2.341 -5.799 0.160
Na 0.058 -3.443 -0.094
Ga 0.000 0.000 0.000
Ga -2.938 -2.982 -1.730
Pt -2.901 -3.061 -4.191
Pt -4.692 -4.711 -1.701
Pt -2.976 -2.903 0.731
Pt -1.185 -1.253 -1.759
```

Computed properties:
energy above the most stable polymorph in this dataset	0.0	meV per atom
E_form	-0.428	eV/atom
electronic total energy	-3.9778	eV/atom



# 8
Density functional theory data (PBE) for a relaxed structure of Y2ZrRh.

```
4
Lattice="-3.046 -4.764 2.290 -2.582 -4.208 -3.583 5.317 2.909 0.695" Properties=species:S:1:pos:R:3 pbc="T T T"
Rh -0.271 -3.170 1.169
Y 0.000 0.000 0.000
Y -0.039 -2.893 -1.767
Zr -2.814 -4.486 -0.647
```

Computed properties:
energy above the most stable polymorph in this dataset	302.5	meV per atom
E_form	-0.090	eV/atom
electronic total energy	-7.2972	eV/atom



# 9
Density functional theory data (PBE) for a relaxed structure of Er5Hg4Au.

```
10
Lattice="3.661 0.000 0.000 0.000 3.661 0.000 0.000 0.000 18.387" Properties=species:S:1:pos:R:3 pbc="T T T"
Er 1.830 1.830 1.716
Er 1.830 1.830 5.449
Er 1.830 1.830 9.194
Er 1.830 1.830 12.938
Er 1.830 1.830 16.671
Hg 0.000 0.000 3.635
Hg 0.000 0.000 7.326
Hg 0.000 0.000 11.061
Hg 0.000 0.000 14.752
Au 0.000 0.000 0.000
```

Computed properties:
E_form	-0.562	eV/atom
electronic total energy	-3.2916	eV/atom



# 10
Density functional theory data (PBE) for a relaxed structure of CaAuCl2.

```
4
Lattice="4.707 -0.002 0.000 0.004 4.707 0.000 0.000 0.000 3.943" Properties=species:S:1:pos:R:3 pbc="T T T"
Ca 0.002 2.353 1.971
Au 2.353 -0.001 1.971
Cl 0.000 0.000 0.000
Cl 2.355 2.352 0.000
```

Computed properties:
energy above the most stable polymorph in this dataset	197.0	meV per atom
formation energy without anion corrections	-1029.3	meV per atom
electronic total energy	-3.2724	eV/atom



Spin magnetization, record by record: 0.3, 0.0, 0.0, 0.0, 4.9, 0.0, 0.0, 0.0, 0.0, 0.0 μB/f.u.